(1)
The following is a DFT calculation (PBE-GGA) of CsBrF3 after structural relaxation.

Computed properties:
Excess energy over the best structure of this formula in the dataset in eV/atom: 0.000
E_form (uncorrected) in eV/atom: -1.355
Theoretical density in g cm⁻³: 4.901
E_tot in eV/atom: -2.983

Structure (CIF):
```
data_CsBrF3
_chemical_formula_sum 'Cs1 Br1 F3'
_cell_length_a 4.505
_cell_length_b 4.505
_cell_length_c 4.505
_cell_angle_alpha 90.00
_cell_angle_beta 90.00
_cell_angle_gamma 90.00
_space_group_name_H-M_alt 'P m -3 m'
_space_group_IT_number 221
_space_group_name_Hall '-P 4 2 3'
loop_
_atom_site_label
_atom_site_type_symbol
_atom_site_fract_x
_atom_site_fract_y
_atom_site_fract_z
Cs1 Cs 0.000 0.000 0.000
Br1 Br 0.500 0.500 0.500
F1 F 0.000 0.500 0.500
```



(2)
The following is a DFT calculation (PBE-GGA) of Hg6SbPb2 after structural relaxation.

Computed properties:
E_form (uncorrected) in eV/atom: 0.031
Theoretical density in g cm⁻³: 10.980
E_tot in eV/atom: -1.452

Structure (CIF):
```
data_Hg6SbPb2
_chemical_formula_sum 'Hg24 Sb4 Pb8'
_cell_length_a 11.218
_cell_length_b 11.511
_cell_length_c 9.857
_cell_angle_alpha 90.00
_cell_angle_beta 124.23
_cell_angle_gamma 90.00
_space_group_name_H-M_alt 'C 1 2/c 1'
_space_group_IT_number 15
loop_
_space_group_symop_operation_xyz
'x,y,z'
'-x,-y,-z'
'-x,y,-z+1/2'
'x,-y,z+1/2'
'x+1/2,y+1/2,z'
'-x+1/2,-y+1/2,-z'
'-x+1/2,y+1/2,-z+1/2'
'x+1/2,-y+1/2,z+1/2'
loop_
_atom_site_label
_atom_site_type_symbol
_atom_site_fract_x
_atom_site_fract_y
_atom_site_fract_z
Hg1 Hg 0.048 0.123 0.128
Hg2 Hg 0.114 0.370 0.541
Hg3 Hg 0.203 0.377 0.308
Sb1 Sb 0.000 0.350 0.750
Pb1 Pb 0.180 0.117 0.913
```



(3)
The following is a DFT calculation (PBE-GGA) of CoPBr2 after structural relaxation.

Computed properties:
Excess energy over the best structure of this formula in the dataset in eV/atom: 0.892
E_form (uncorrected) in eV/atom: 0.560
Theoretical density in g cm⁻³: 4.748
E_tot in eV/atom: -3.405

Structure (CIF):
```
data_CoPBr2
_chemical_formula_sum 'Co3 P3 Br6'
_cell_length_a 3.4055
_cell_length_b 3.4055
_cell_length_c 26.0859
_cell_angle_alpha 90.00
_cell_angle_beta 90.00
_cell_angle_gamma 120.00
_space_group_name_H-M_alt 'R -3 m'
_space_group_IT_number 166
_space_group_name_Hall '-R 3 2"'
loop_
_atom_site_label
_atom_site_type_symbol
_atom_site_fract_x
_atom_site_fract_y
_atom_site_fract_z
Co1 Co 0.0000 0.0000 0.0000
P1 P 0.0000 0.0000 0.5000
Br1 Br 0.0000 0.0000 0.2788
```



(4)
The following is a DFT calculation (PBE-GGA) of Pt2OF after structural relaxation.

Computed properties:
Excess energy over the best structure of this formula in the dataset in eV/atom: 0.513
E_form (uncorrected) in eV/atom: 0.589
Theoretical density in g cm⁻³: 14.275
E_tot in eV/atom: -4.139

Structure (CIF):
```
data_Pt2OF
_chemical_formula_sum 'Pt8 O4 F4'
_cell_length_a 5.827
_cell_length_b 5.827
_cell_length_c 5.827
_cell_angle_alpha 90.00
_cell_angle_beta 90.00
_cell_angle_gamma 90.00
_space_group_name_H-M_alt 'F m -3 m'
_space_group_IT_number 225
_space_group_name_Hall '-F 4 2 3'
loop_
_atom_site_label
_atom_site_type_symbol
_atom_site_fract_x
_atom_site_fract_y
_atom_site_fract_z
Pt1 Pt 0.250 0.250 0.250
O1 O 0.000 0.000 0.000
F1 F 0.000 0.000 0.500
```



(5)
The following is a DFT calculation (PBE-GGA) of ZrBeSbTe2 after structural relaxation.

Computed properties:
Excess energy over the best structure of this formula in the dataset in eV/atom: 0.207
E_form (uncorrected) in eV/atom: 0.565
Theoretical density in g cm⁻³: 4.550
E_tot in eV/atom: -3.971

Structure (CIF):
```
data_ZrBeSbTe2
_chemical_formula_sum 'Zr1 Be1 Sb1 Te2'
_cell_length_a 5.554
_cell_length_b 5.554
_cell_length_c 5.646
_cell_angle_alpha 90.00
_cell_angle_beta 90.00
_cell_angle_gamma 90.00
_space_group_name_H-M_alt 'P 4/m m m'
_space_group_IT_number 123
_space_group_name_Hall '-P 4 2'
loop_
_atom_site_label
_atom_site_type_symbol
_atom_site_fract_x
_atom_site_fract_y
_atom_site_fract_z
Zr1 Zr 0.000 0.000 0.000
Be1 Be 0.500 0.500 0.500
Sb1 Sb 0.000 0.000 0.500
Te1 Te 0.000 0.500 0.000
```



(6)
The following is a DFT calculation (PBE-GGA) of CrSb2Pd2 after structural relaxation.

Computed properties:
Excess energy over the best structure of this formula in the dataset in eV/atom: 0.000
E_form (uncorrected) in eV/atom: -0.015
Theoretical density in g cm⁻³: 8.577
E_tot in eV/atom: -5.666

Structure (CIF):
```
data_CrSb2Pd2
_chemical_formula_sum 'Cr2 Sb4 Pd4'
_cell_length_a 7.343
_cell_length_b 7.343
_cell_length_c 3.650
_cell_angle_alpha 90.00
_cell_angle_beta 90.00
_cell_angle_gamma 90.00
_space_group_name_H-M_alt 'P 4/m b m'
_space_group_IT_number 127
_space_group_name_Hall '-P 4 2ab'
loop_
_atom_site_label
_atom_site_type_symbol
_atom_site_fract_x
_atom_site_fract_y
_atom_site_fract_z
Cr1 Cr 0.000 0.000 0.000
Sb1 Sb 0.161 0.339 0.000
Pd1 Pd 0.139 0.639 0.500
```